# GeRu2O PBE relaxed
data_GeRu2O
_space_group_name_H-M_alt 'P 1'
_space_group_IT_number 1
_cell_length_a 4.174
_cell_length_b 4.174
_cell_length_c 4.174
_cell_angle_alpha 60.00
_cell_angle_beta 60.00
_cell_angle_gamma 60.00
loop_
_space_group_symop_operation_xyz
'x,y,z'
loop_
_atom_site_label
_atom_site_type_symbol
_atom_site_fract_x
_atom_site_fract_y
_atom_site_fract_z
Ge1 Ge 0.000 0.000 0.000
Ru1 Ru 0.250 0.250 0.250
Ru2 Ru 0.750 0.750 0.750
O1 O 0.500 0.500 0.500
# N(E_F): 5.6 states/eV/cell
# ΔE_f (raw): 258 meV per atom